This record from Alexandria describes a geometry-optimized PmIn2Ge2Pt7 structure. The functional is PBE.

Calculated values
Total DFT energy (no corrections) in eV/atom: -5.70
Formation enthalpy at 0 K in meV per atom: -555
Total moment in μB/f.u.: 0.00

```
data_PmIn2Ge2Pt7
_chemical_formula_sum 'Pm1 In2 Ge2 Pt7'
_cell_length_a 4.033
_cell_length_b 4.033
_cell_length_c 14.712
_cell_angle_alpha 95.43
_cell_angle_beta 95.43
_cell_angle_gamma 90.28
_space_group_name_H-M_alt 'P 1'
_space_group_IT_number 1
_space_group_name_Hall 'P 1'
loop_
_atom_site_label
_atom_site_fract_x
_atom_site_fract_y
_atom_site_fract_z
_atom_site_occupancy
Pm1 0.000 0.000 0.000 1
In1 0.109 0.109 0.404 1
In2 0.891 0.891 0.596 1
Ge1 0.412 0.412 0.746 1
Ge2 0.588 0.588 0.254 1
Pt1 0.053 0.553 0.154 1
Pt2 0.385 0.385 0.580 1
Pt3 0.447 0.947 0.846 1
Pt4 0.500 0.500 0.000 1
Pt5 0.553 0.053 0.154 1
Pt6 0.615 0.615 0.420 1
Pt7 0.947 0.447 0.846 1
```